Entry 1:
# NaSmTiO4

An optimized crystal structure of NaSmTiO4 (PBEsol, the Alexandria database).

Output
Total moment in μB/cell: 0.00
Formation energy without anion corrections in eV per atom: -2.99

Cell: 3.6965 3.6965 12.8753 Å, 90.00 90.00 90.00°
Last column: nearest neighbours and their distance in Å.
Fractional coordinates of all 14 atoms:
Na1 0.2500 0.2500 0.0828  1 O 2.30
Na2 0.7500 0.7500 0.9172  1 O 2.30
Sm1 0.2500 0.2500 0.3934  5 O 2.26-2.43
Sm2 0.7500 0.7500 0.6066  5 O 2.26-2.43
Ti1 0.2500 0.2500 0.7677  5 O 1.76-1.91
Ti2 0.7500 0.7500 0.2323  5 O 1.76-1.91
O1 0.2500 0.2500 0.5687  1 Sm 2.26
O2 0.2500 0.2500 0.9044  1 Ti 1.76
O3 0.2500 0.7500 0.2709  2 Ti 1.91
O4 0.2500 0.7500 0.7291  2 Ti 1.91
O5 0.7500 0.2500 0.2709  2 Ti 1.91
O6 0.7500 0.2500 0.7291  2 Ti 1.91
O7 0.7500 0.7500 0.0956  1 Ti 1.76
O8 0.7500 0.7500 0.4313  1 Sm 2.26

=====

Entry 2:
# Ca11Mn2N10

An optimized crystal structure of Ca11Mn2N10 (PBEsol, the Alexandria database).

Output
Total moment in μB/cell: 2.00
Formation energy without anion corrections in eV per atom: -0.90

Cell: 6.0414 6.0414 12.2339 Å, 91.85 91.85 117.39°
Last column: nearest neighbours and their distance in Å.
Fractional coordinates of all 23 atoms:
Ca1 0.0000 0.0000 0.0000  5 N 2.37-2.56
Ca2 0.1941 0.7725 0.2467  3 N 2.30-2.56
Ca3 0.2224 0.8290 0.5004  3 N 2.29-2.46
Ca4 0.3739 0.9893 0.7615  5 N 2.35-2.54
Ca5 0.4027 0.7879 0.9920  5 N 2.37-2.64
Ca6 0.5688 0.5688 0.3804  2 N 2.30
Ca7 0.7725 0.1941 0.2467  3 N 2.30-2.56
Ca8 0.7783 0.7783 0.7446  5 N 2.42-2.57
Ca9 0.7879 0.4027 0.9920  5 N 2.37-2.64
Ca10 0.8290 0.2224 0.5004  3 N 2.29-2.46
Ca11 0.9893 0.3739 0.7615  5 N 2.35-2.54
Mn1 0.3656 0.3656 0.6202  3 N 1.69-1.74
Mn2 0.4070 0.4070 0.1316  3 N 1.68-1.73
N1 0.0528 0.7206 0.8757  6 Ca 2.35-2.42
N2 0.0929 0.0929 0.6371  1 Mn 1.74
N3 0.1247 0.4109 0.1112  1 Mn 1.73
N4 0.3465 0.6318 0.6470  1 Mn 1.69
N5 0.4109 0.1247 0.1112  1 Mn 1.73
N6 0.5378 0.9332 0.3768  5 Ca 2.29-2.37
N7 0.6318 0.3465 0.6470  1 Mn 1.69
N8 0.6684 0.6684 0.1080  1 Mn 1.68
N9 0.7206 0.0528 0.8757  6 Ca 2.35-2.42
N10 0.9332 0.5378 0.3768  5 Ca 2.29-2.37

=====

Entry 3:
# TiSiIO2

An optimized crystal structure of TiSiIO2 (PBEsol, the Alexandria database).

Output
Total moment in μB/cell: 0.78
Formation energy without anion corrections in eV per atom: -0.91

Cell: 3.8681 3.8681 5.7851 Å, 90.00 90.00 90.00°
Last column: nearest neighbours and their distance in Å.
Fractional coordinates of all 5 atoms:
Ti1 0.0000 0.0000 0.0000  4 O 1.93
Si1 0.5000 0.5000 0.5000  4 I 2.74
I1 0.0000 0.0000 0.5000  4 Si 2.74, 2 Ti 2.89
O1 0.0000 0.5000 0.0000  2 Ti 1.93
O2 0.5000 0.0000 0.0000  2 Ti 1.93

=====

Entry 4:
# RbMgI2O

An optimized crystal structure of RbMgI2O (PBEsol, the Alexandria database).

Output
Total moment in μB/cell: 0.34
Formation energy without anion corrections in eV per atom: 0.12

Cell: 6.3631 6.3631 4.3083 Å, 90.00 90.00 90.00°
Last column: nearest neighbours and their distance in Å.
Fractional coordinates of all 5 atoms:
Rb1 0.0000 0.0000 0.0000  2 O 2.15
Mg1 0.5000 0.5000 0.5000  8 I 3.84
I1 0.0000 0.5000 0.0000  2 Rb 3.18
I2 0.5000 0.0000 0.0000  2 Rb 3.18
O1 0.0000 0.0000 0.5000  2 Rb 2.15

=====

Entry 5:
# ZrCdSi

An optimized crystal structure of ZrCdSi (PBEsol, the Alexandria database).

Output
Total moment in μB/cell: 0.00
Formation energy without anion corrections in eV per atom: -0.11

Cell: 3.1360 3.1360 11.3728 Å, 90.00 90.00 90.00°
Last column: nearest neighbours and their distance in Å.
Fractional coordinates of all 6 atoms:
Zr1 0.0000 0.0000 0.0000  4 Si 2.81, 4 Cd 3.11, 4 Zr 3.14
Zr2 0.5000 0.5000 0.5000  4 Si 2.81, 4 Cd 3.11, 4 Zr 3.14
Cd1 0.0000 0.0000 0.6913  4 Si 2.85, 4 Zr 3.11, 4 Cd 3.14
Cd2 0.5000 0.5000 0.1913  4 Si 2.85, 4 Zr 3.11, 4 Cd 3.14
Si1 0.0000 0.0000 0.3482  4 Zr 2.81, 4 Cd 2.85, 4 Si 3.14
Si2 0.5000 0.5000 0.8482  4 Zr 2.81, 4 Cd 2.85, 4 Si 3.14

=====

Entry 6:
# NiGeTe2

An optimized crystal structure of NiGeTe2 (PBEsol, the Alexandria database).

Output
Total moment in μB/cell: 1.10
Formation energy without anion corrections in eV per atom: 0.42

Cell: 3.9849 3.9849 23.8154 Å, 90.00 90.00 120.00°
Last column: nearest neighbours and their distance in Å.
Fractional coordinates of all 12 atoms:
Ni1 0.0000 0.0000 0.0000  2 Te 2.35
Ni2 0.3333 0.6667 0.6667  2 Te 2.35
Ni3 0.6667 0.3333 0.3333  2 Te 2.35
Ge1 0.0000 0.0000 0.5000  6 Te 2.81
Ge2 0.3333 0.6667 0.1667  6 Te 2.81
Ge3 0.6667 0.3333 0.8333  6 Te 2.81
Te1 0.0000 0.0000 0.0986  1 Ni 2.35
Te2 0.0000 0.0000 0.9014  1 Ni 2.35
Te3 0.3333 0.6667 0.5680  1 Ni 2.35
Te4 0.3333 0.6667 0.7653  1 Ni 2.35
Te5 0.6667 0.3333 0.2347  1 Ni 2.35
Te6 0.6667 0.3333 0.4320  1 Ni 2.35

=====

Entry 7:
# Ba5Ga6O14

An optimized crystal structure of Ba5Ga6O14 (PBEsol, the Alexandria database).

Output
Total moment in μB/cell: 0.23
Formation energy without anion corrections in eV per atom: -2.28

Cell: 8.4198 8.4198 11.4204 Å, 90.00 90.00 88.15°
Last column: nearest neighbours and their distance in Å.
Fractional coordinates of all 50 atoms:
Ba1 0.0107 0.9893 0.5000  4 O 2.56-2.74
Ba2 0.1916 0.5218 0.4579  6 O 2.57-2.80
Ba3 0.2111 0.4810 0.0301  5 O 2.54-2.81
Ba4 0.4782 0.8084 0.4579  6 O 2.57-2.80
Ba5 0.4810 0.2111 0.5301  5 O 2.54-2.81
Ba6 0.5190 0.7889 0.0301  5 O 2.54-2.81
Ba7 0.5218 0.1916 0.9579  6 O 2.57-2.80
Ba8 0.7889 0.5190 0.5301  5 O 2.54-2.81
Ba9 0.8084 0.4782 0.9579  6 O 2.57-2.80
Ba10 0.9893 0.0107 0.0000  4 O 2.56-2.74
Ga1 0.0181 0.7099 0.7631  4 O 1.81-1.93
Ga2 0.1452 0.3376 0.7423  4 O 1.86-1.88
Ga3 0.1985 0.8015 0.2203  4 O 1.79-1.89
Ga4 0.2901 0.9819 0.7631  4 O 1.81-1.93
Ga5 0.3376 0.1452 0.2423  4 O 1.86-1.88
Ga6 0.4913 0.5087 0.7416  4 O 1.83-1.90
Ga7 0.5087 0.4913 0.2416  4 O 1.83-1.90
Ga8 0.6624 0.8548 0.7423  4 O 1.86-1.88
Ga9 0.7099 0.0181 0.2631  4 O 1.81-1.93
Ga10 0.8015 0.1985 0.7203  4 O 1.79-1.89
Ga11 0.8548 0.6624 0.2423  4 O 1.86-1.88
Ga12 0.9819 0.2901 0.2631  4 O 1.81-1.93
O1 0.0016 0.6999 0.6051  1 Ga 1.81
O2 0.0168 0.7287 0.1414  2 Ga 1.88-1.89
O3 0.0589 0.5063 0.8295  2 Ga 1.86-1.90
O4 0.1598 0.8402 0.8354  2 Ga 1.84
O5 0.1802 0.2321 0.3390  2 Ga 1.86-1.93
O6 0.1933 0.8067 0.3769  1 Ga 1.79
O7 0.2321 0.1802 0.8390  2 Ga 1.86-1.93
O8 0.2713 0.9832 0.1414  2 Ga 1.88-1.89
O9 0.3001 0.9984 0.6051  1 Ga 1.81
O10 0.3147 0.4296 0.6617  2 Ga 1.88
O11 0.3553 0.6447 0.1867  2 Ga 1.88-1.90
O12 0.4296 0.3147 0.1617  2 Ga 1.88
O13 0.4935 0.5065 0.9014  1 Ga 1.83
O14 0.4937 0.9411 0.8295  2 Ga 1.86-1.90
O15 0.5063 0.0589 0.3295  2 Ga 1.86-1.90
O16 0.5065 0.4935 0.4014  1 Ga 1.83
O17 0.5704 0.6853 0.6617  2 Ga 1.88
O18 0.6447 0.3553 0.6867  2 Ga 1.88-1.90
O19 0.6853 0.5704 0.1617  2 Ga 1.88
O20 0.6999 0.0016 0.1051  1 Ga 1.81
O21 0.7287 0.0168 0.6414  2 Ga 1.88-1.89
O22 0.7679 0.8198 0.3390  2 Ga 1.86-1.93
O23 0.8067 0.1933 0.8769  1 Ga 1.79
O24 0.8198 0.7679 0.8390  2 Ga 1.86-1.93
O25 0.8402 0.1598 0.3355  2 Ga 1.84
O26 0.9411 0.4937 0.3295  2 Ga 1.86-1.90
O27 0.9832 0.2713 0.6414  2 Ga 1.88-1.89
O28 0.9984 0.3001 0.1051  1 Ga 1.81

=====

Entry 8:
# KNb3Re

An optimized crystal structure of KNb3Re (PBEsol, the Alexandria database).

Output
Energy relative to the elements in meV/atom: 2794
Total moment in μB/cell: 0.00

Cell: 4.4818 4.4818 4.4818 Å, 90.00 90.00 90.00°
Last column: nearest neighbours and their distance in Å.
Fractional coordinates of all 5 atoms:
K1 0.0000 0.0000 0.0000  6 Nb 2.24
Nb1 0.0000 0.0000 0.5000  2 K 2.24
Nb2 0.0000 0.5000 0.0000  2 K 2.24
Nb3 0.5000 0.0000 0.0000  2 K 2.24
Re1 0.5000 0.5000 0.5000  12 Nb 3.17

=====

Entry 9:
# Re2SiC

An optimized crystal structure of Re2SiC (PBEsol, the Alexandria database).

Output
Total moment in μB/cell: 0.00
Formation energy without anion corrections in eV per atom: 0.88

Cell: 4.4932 4.4932 11.9908 Å, 90.00 90.00 90.00°
Last column: nearest neighbours and their distance in Å.
Fractional coordinates of all 16 atoms:
Re1 0.1628 0.2500 0.1250  2 C 2.01
Re2 0.2500 0.6628 0.3750  2 C 2.01
Re3 0.2500 0.8372 0.8750  2 C 2.01
Re4 0.3372 0.2500 0.6250  2 C 2.01
Re5 0.6628 0.7500 0.6250  2 C 2.01
Re6 0.7500 0.1628 0.8750  2 C 2.01
Re7 0.7500 0.3372 0.3750  2 C 2.01
Re8 0.8372 0.7500 0.1250  2 C 2.01
Si1 0.0000 0.0000 0.5000  4 Re 2.41
Si2 0.0000 0.5000 0.7500  4 Re 2.41
Si3 0.5000 0.0000 0.2500  4 Re 2.41
Si4 0.5000 0.5000 0.0000  4 Re 2.41
C1 0.0000 0.0000 0.0000  4 Re 2.01
C2 0.0000 0.5000 0.2500  4 Re 2.01
C3 0.5000 0.0000 0.7500  4 Re 2.01
C4 0.5000 0.5000 0.5000  4 Re 2.01

=====

Entry 10:
# SrY2Ta

An optimized crystal structure of SrY2Ta (PBEsol, the Alexandria database).

Output
Energy relative to the elements in meV/atom: 363
Total moment in μB/cell: 0.00

Cell: 3.3736 3.3736 10.4910 Å, 90.00 90.00 90.00°
Last column: nearest neighbours and their distance in Å.
Fractional coordinates of all 4 atoms:
Sr1 0.0000 0.0000 0.0000  4 Sr 3.37
Y1 0.5000 0.5000 0.3089  4 Ta 3.12, 4 Y 3.37
Y2 0.5000 0.5000 0.6911  4 Ta 3.12, 4 Y 3.37
Ta1 0.0000 0.0000 0.5000  8 Y 3.12, 4 Ta 3.37

=====

Entry 11:
# LiP3Pd

An optimized crystal structure of LiP3Pd (PBEsol, the Alexandria database).

Output
Energy relative to the elements in meV/atom: 572
Total moment in μB/cell: 0.00

Cell: 4.6811 4.6811 4.6811 Å, 90.00 90.00 90.00°
Last column: nearest neighbours and their distance in Å.
Fractional coordinates of all 5 atoms:
Li1 0.0000 0.0000 0.0000  12 P 3.31
P1 0.0000 0.5000 0.5000  2 Pd 2.34
P2 0.5000 0.0000 0.5000  2 Pd 2.34
P3 0.5000 0.5000 0.0000  2 Pd 2.34
Pd1 0.5000 0.5000 0.5000  6 P 2.34

=====

Entry 12:
# ReRh7

An optimized crystal structure of ReRh7 (PBEsol, the Alexandria database).

Output
Energy relative to the elements in meV/atom: -49
Total moment in μB/cell: 0.00

Cell: 2.6756 3.7922 10.7079 Å, 90.00 90.00 90.00°
Last column: nearest neighbours and their distance in Å.
Fractional coordinates of all 8 atoms:
Re1 0.0000 0.0000 0.0000  10 Rh 2.67-2.68, 2 Re 2.68
Rh1 0.0000 0.0000 0.2501  11 Rh 2.67-2.69, 1 Re 2.68
Rh2 0.0000 0.0000 0.5000  12 Rh 2.68
Rh3 0.0000 0.0000 0.7499  11 Rh 2.67-2.69, 1 Re 2.68
Rh4 0.5000 0.5000 0.1227  8 Rh 2.63-2.69, 4 Re 2.67
Rh5 0.5000 0.5000 0.3743  12 Rh 2.67-2.69
Rh6 0.5000 0.5000 0.6257  12 Rh 2.67-2.69
Rh7 0.5000 0.5000 0.8773  8 Rh 2.63-2.69, 4 Re 2.67